DFT (PBE) results for a relaxed structure of PaAu6.

The density of states at the Fermi level is 0.873 states/eV/atom. The formation energy is -0.159 eV/atom. As for the crystal system: orthorhombic.

The structure belongs to space group Pnma (No. 62); the cell edges are 9.069, 5.636 and 10.997 Å and the angles 90.00°, 90.00° and 90.00°. The distinct sites, in fractional coordinates, are Pa at (0.241, 0.250, 0.068), Au at (0.055, 0.007, 0.306), Au at (0.066, 0.750, 0.075), Au at (0.116, 0.250, 0.522), Au at (0.158, 0.750, 0.838) and Au at (0.189, 0.250, 0.783).

---

DFT (PBE) results for a relaxed structure of AcCdGa4Au2.

The density of states at the Fermi level is 0.580 states/eV/atom. The formation energy is -0.325 eV/atom. As for the crystal system: trigonal.

The structure belongs to space group R-3m (No. 166, hexagonal axes); the cell edges are 4.5401, 4.5401 and 30.9662 Å and the angles 90.00°, 90.00° and 120.00°. The distinct sites, in fractional coordinates, are Ac at (0.0000, 0.0000, 0.0000), Cd at (0.0000, 0.0000, 0.5000), Ga at (0.0000, 0.0000, 0.1197), Ga at (0.0000, 0.0000, 0.4078) and Au at (0.0000, 0.0000, 0.2674).

---

DFT (PBE) results for a relaxed structure of HfCoAsBr2.

The energy relative to the elements, uncorrected comes out at 1.657 eV per formula unit. The density of states at the Fermi level is 1.407 states/eV/atom. As for the crystal system: tetragonal.

The structure belongs to space group P4/mmm (No. 123); the cell edges are 5.174, 5.174 and 5.335 Å and the angles 90.00°, 90.00° and 90.00°. The distinct sites, in fractional coordinates, are Hf at (0.000, 0.000, 0.000), Co at (0.500, 0.500, 0.500), As at (0.000, 0.000, 0.500) and Br at (0.000, 0.500, 0.000).

---

DFT (PBE) results for a relaxed structure of Li2PAuSe4.

The energy relative to the elements, uncorrected comes out at -3.900 eV per formula unit. As for the crystal system: tetragonal.

The structure belongs to space group I-4 (No. 82); the cell edges are 5.895, 5.895 and 11.169 Å and the angles 90.00°, 90.00° and 90.00°. The distinct sites, in fractional coordinates, are Li at (0.000, 0.000, 0.000), Li at (0.000, 0.500, 0.250), P at (0.000, 0.500, 0.750), Au at (0.000, 0.000, 0.500) and Se at (0.216, 0.274, 0.866).

---

How do the records compare in E? In the order shown, they have -4.32, -3.29, -4.68, -3.79 eV/atom.